No. 1
VASP calculation (PBE) on an optimized crystal structure of Rb2AlRuI6.

Lattice parameters (Å, degrees): 8.112 8.112 8.125 60.05 60.05 90.00
Each line ends with the local moment (μB).
Atoms (fractional coordinates):
I (0.240, 0.240, 0.520)  0.01
I (0.760, 0.760, 0.480)  0.01
I (0.241, 0.241, 0.000)  0.02
I (0.759, 0.759, 0.000)  0.02
I (0.759, 0.241, 0.000)  0.02
I (0.241, 0.759, 0.000)  0.02
Ru (0.000, 0.000, 0.000)  0.73
Al (0.500, 0.500, 0.000)  0.00
Rb (0.750, 0.250, 0.500)  0.00
Rb (0.250, 0.750, 0.500)  0.00

Values from the calculation:
Spin magnetization ... 0.95 μB/f.u.
Energy ... -3.02 eV per atom
Raw formation energy ... -57.3 kJ/mol of atoms



No. 2
VASP calculation (PBE) on an optimized crystal structure of RbAlSb2I.

Lattice parameters (Å, degrees): 5.323 5.323 6.723 90.00 90.00 90.00
Atoms (fractional coordinates):
I (0.000, 0.000, 0.500)
Sb (0.000, 0.500, 0.000)
Sb (0.500, 0.000, 0.000)
Al (0.000, 0.000, 0.000)
Rb (0.500, 0.500, 0.500)

Values from the calculation:
Energy above the lowest structure with this stoichiometry ... 0 meV/atom
Spin magnetization ... 0.00 μB/f.u.
Energy ... -2.99 eV per atom
Raw formation energy ... -8.2 kJ/mol of atoms